1:
First-principles (GGA+U) data for Co2CO after structural relaxation, as listed in Alexandria.

a = 3.7103 Å, b = 3.7103 Å, c = 3.7103 Å
α = 60.00°, β = 60.00°, γ = 60.00°
With the nearest neighbours (Å) after each atom.
Atoms (fractional coordinates):
C 0.0000 0.0000 0.0000  8 Co 2.27
Co 0.2500 0.2500 0.2500  4 O 2.27, 4 C 2.27
Co 0.7500 0.7500 0.7500  4 O 2.27, 4 C 2.27
O 0.5000 0.5000 0.5000  8 Co 2.27

Results
volume	9.03	A^3/atom
space-group type	No. 225

2:
First-principles (GGA+U) data for Co2CO after structural relaxation, as listed in Alexandria.

a = 4.6345 Å, b = 4.6345 Å, c = 5.1762 Å
α = 63.41°, β = 63.41°, γ = 90.00°
With the nearest neighbours (Å) after each atom.
Atoms (fractional coordinates):
C 0.5000 0.5000 0.0000  4 Co 1.89
C 0.2500 0.7500 0.5000  4 Co 1.89
Co 0.6147 0.1250 0.2500  2 C 1.89, 2 O 1.95
Co 0.1353 0.6250 0.2500  2 C 1.89, 2 O 1.95
Co 0.3750 0.3853 0.7500  2 C 1.89, 2 O 1.95
Co 0.8750 0.8647 0.7500  2 C 1.89, 2 O 1.95
O 0.0000 0.0000 0.0000  4 Co 1.95
O 0.7500 0.2500 0.5000  4 Co 1.95

Results
volume	10.76	A^3/atom
space-group type	No. 122

Computed energies relative to the best structure, in kJ/mol of atoms: 1 45.9; 2 0.0

1:
First-principles (GGA+U) data for CoC3O after structural relaxation, as listed in Alexandria.

a = 3.5441 Å, b = 3.5441 Å, c = 3.5441 Å
α = 90.00°, β = 90.00°, γ = 90.00°
With the nearest neighbours (Å) after each atom.
Atoms (fractional coordinates):
C 0.0000 0.5000 0.0000  2 O 1.77
C 0.0000 0.0000 0.5000  2 O 1.77
C 0.5000 0.0000 0.0000  2 O 1.77
Co 0.5000 0.5000 0.5000  12 C 2.51
O 0.0000 0.0000 0.0000  6 C 1.77

Results
volume	8.90	A^3/atom
space-group type	No. 221

2:
First-principles (GGA+U) data for CoC3O after structural relaxation, as listed in Alexandria.

a = 3.6230 Å, b = 3.6230 Å, c = 3.6230 Å
α = 90.00°, β = 90.00°, γ = 90.00°
With the nearest neighbours (Å) after each atom.
Atoms (fractional coordinates):
C 0.0000 0.5000 0.0000  2 Co 1.81
C 0.0000 0.0000 0.5000  2 Co 1.81
C 0.5000 0.0000 0.0000  2 Co 1.81
Co 0.0000 0.0000 0.0000  6 C 1.81
O 0.5000 0.5000 0.5000  12 C 2.56

Results
volume	9.51	A^3/atom
space-group type	No. 221

Computed energies relative to the best structure, in kJ/mol of atoms: 1 56.1; 2 0.0

1:
First-principles (GGA+U) data for CoPCO2 after structural relaxation, as listed in Alexandria.

a = 3.3979 Å, b = 3.3979 Å, c = 5.3509 Å
α = 90.00°, β = 90.00°, γ = 90.00°
With the nearest neighbours (Å) after each atom.
Atoms (fractional coordinates):
P 0.0000 0.0000 0.5000  4 C 2.40, 2 Co 2.68
C 0.5000 0.5000 0.5000  4 P 2.40
Co 0.0000 0.0000 0.0000  4 O 1.70
O 0.0000 0.5000 0.0000  2 Co 1.70
O 0.5000 0.0000 0.0000  2 Co 1.70

Results
volume	12.36	A^3/atom
space-group type	No. 123

2:
First-principles (GGA+U) data for CoPCO2 after structural relaxation, as listed in Alexandria.

a = 3.5490 Å, b = 3.5490 Å, c = 3.8736 Å
α = 90.00°, β = 90.00°, γ = 90.00°
With the nearest neighbours (Å) after each atom.
Atoms (fractional coordinates):
P 0.0000 0.0000 0.5000  2 C 1.94
C 0.0000 0.0000 0.0000  4 O 1.77, 2 P 1.94
Co 0.5000 0.5000 0.5000  4 P 2.51, 8 O 2.63
O 0.0000 0.5000 0.0000  2 C 1.77
O 0.5000 0.0000 0.0000  2 C 1.77

Results
volume	9.76	A^3/atom
space-group type	No. 123

Computed energies relative to the best structure, in kJ/mol of atoms: 1 0.0; 2 1.5